Pm2Sm2O5: relaxed, PBE.

abc: 4.5163 4.5163 7.2795
angles: 90.00 90.00 90.00
Closest atoms and distances in Å follow each position.
Atoms (fractional coordinates):
Pm 0.0000 0.0000 0.2117  5 O 2.10-2.26
Pm 0.0000 0.0000 0.7883  5 O 2.10-2.26
Sm 0.5000 0.5000 0.0000  8 O 2.76
Sm 0.5000 0.5000 0.5000  12 O 3.06-3.19
O 0.0000 0.0000 0.5000  2 Pm 2.10
O 0.0000 0.5000 0.2169  2 Pm 2.26
O 0.0000 0.5000 0.7831  2 Pm 2.26
O 0.5000 0.0000 0.2169  2 Pm 2.26
O 0.5000 0.0000 0.7831  2 Pm 2.26

Output
- Symmetry: P4/mmm, No. 123
- Total DFT energy (no corrections): -7.27 eV/atom
- Magnetic moment: 1.321 μB per formula unit